## NaNiP2 (GGA-PBEsol)

Data for an optimized crystal structure of NaNiP2.

a b c (Å): 4.295 4.295 4.295
angles (deg): 60.00 60.00 60.00
Positions (direct):
Na 0.000 0.000 0.000
Ni 0.500 0.500 0.500
P 0.250 0.250 0.250
P 0.750 0.750 0.750

Total DFT energy (no corrections)   -4.59 eV/atom
Crystal system   cubic